InAgMo2O8: optimized geometry, PBE with a Hubbard U.

Summary:
E ... -6.324 eV/atom

Lattice parameters (Å, degrees): 5.9323 5.9323 6.6562 90.00 90.00 120.00
Last column: nearest neighbours and their distance in Å.
Fractional coordinates of all 12 atoms:
O 0.1630 0.3294 0.7019  1 Mo 1.82
In 0.0000 0.0000 0.5000  6 O 2.16
O 0.3294 0.1664 0.2981  1 Mo 1.82
O 0.8336 0.1630 0.2981  1 Mo 1.82
Mo 0.3333 0.6667 0.7853  4 O 1.74-1.82
O 0.1664 0.8370 0.7019  1 Mo 1.82
Mo 0.6667 0.3333 0.2147  4 O 1.74-1.82
O 0.6706 0.8336 0.7019  1 Mo 1.82
O 0.3333 0.6667 0.0463  1 Mo 1.74
Ag 0.0000 0.0000 0.0000  6 O 2.61
O 0.6667 0.3333 0.9537  1 Mo 1.74
O 0.8370 0.6706 0.2981  1 Mo 1.82